# 1
DFT (PBE-GGA) results for a relaxed structure of Be2CoCl6.

a = 9.0145 Å, b = 9.0145 Å, c = 5.8805 Å
α = 106.85°, β = 106.85°, γ = 92.22°
Last column: nearest neighbours and their distance in Å.
Positions (direct):
Be (0.1564, 0.3094, 0.3497)  4 Cl 2.03-2.06
Be (0.3094, 0.1564, 0.8497)  4 Cl 2.03-2.06
Be (0.6906, 0.8436, 0.1503)  4 Cl 2.03-2.06
Be (0.8436, 0.6906, 0.6503)  4 Cl 2.03-2.06
Co (0.2754, 0.7246, 0.7500)  4 Cl 2.26-2.27
Co (0.7246, 0.2754, 0.2500)  4 Cl 2.26-2.27
Cl (0.0652, 0.7017, 0.8802)  1 Be 2.04, 1 Co 2.26
Cl (0.1418, 0.2667, 0.6659)  2 Be 2.04-2.06
Cl (0.2667, 0.1418, 0.1659)  2 Be 2.04-2.06
Cl (0.2770, 0.5206, 0.4155)  1 Be 2.03, 1 Co 2.27
Cl (0.2983, 0.9348, 0.6198)  1 Be 2.04, 1 Co 2.26
Cl (0.4794, 0.7230, 0.0845)  1 Be 2.03, 1 Co 2.27
Cl (0.5206, 0.2770, 0.9155)  1 Be 2.03, 1 Co 2.27
Cl (0.7017, 0.0652, 0.3802)  1 Be 2.04, 1 Co 2.26
Cl (0.7230, 0.4794, 0.5845)  1 Be 2.03, 1 Co 2.27
Cl (0.7333, 0.8582, 0.8341)  2 Be 2.04-2.06
Cl (0.8582, 0.7333, 0.3341)  2 Be 2.04-2.06
Cl (0.9348, 0.2983, 0.1198)  1 Be 2.04, 1 Co 2.26

Output
Formation energy (no corrections) in meV per atom: -1107
Space group: C2/c

---

# 2
DFT (PBE-GGA) results for a relaxed structure of AcZn11Ag.

a = 7.0564 Å, b = 7.0564 Å, c = 6.9682 Å
α = 98.21°, β = 98.21°, γ = 135.49°
Last column: nearest neighbours and their distance in Å.
Positions (direct):
Ac (0.0000, 0.0000, 0.0000)  18 Zn 3.30-3.53, 2 Ag 3.48
Zn (0.0000, 0.5000, 0.0000)  10 Zn 2.63-2.82
Zn (0.0015, 0.6403, 0.6427)  7 Zn 2.58-2.88, 1 Ag 2.86
Zn (0.2732, 0.5079, 0.7710)  6 Zn 2.63-2.88, 1 Ag 2.70
Zn (0.3597, 0.9985, 0.3573)  7 Zn 2.58-2.88, 1 Ag 2.86
Zn (0.4921, 0.7268, 0.2290)  6 Zn 2.63-2.88, 1 Ag 2.70
Zn (0.5000, 0.0000, 0.0000)  10 Zn 2.63-2.82
Zn (0.5000, 0.5000, 0.5000)  8 Zn 2.66-2.86, 2 Ag 2.67
Zn (0.5079, 0.2732, 0.7710)  6 Zn 2.63-2.88, 1 Ag 2.70
Zn (0.6403, 0.0015, 0.6427)  7 Zn 2.58-2.88, 1 Ag 2.86
Zn (0.7268, 0.4921, 0.2290)  6 Zn 2.63-2.88, 1 Ag 2.70
Zn (0.9985, 0.3597, 0.3573)  7 Zn 2.58-2.88, 1 Ag 2.86
Ag (0.0000, 0.0000, 0.5000)  10 Zn 2.67-2.86

Output
DOS at the Fermi energy in states/eV/cell: 3.6
ΔH_f (0 K) in eV/atom: -0.15
Space group: C2/m

---

# 3
DFT (PBE-GGA) results for a relaxed structure of LiZn3Au3.

a = 7.1368 Å, b = 7.1368 Å, c = 7.1368 Å
α = 90.00°, β = 90.00°, γ = 90.00°
Last column: nearest neighbours and their distance in Å.
Positions (direct):
Li (0.0000, 0.0000, 0.0000)  12 Zn 3.99, 12 Au 3.99
Li (0.5000, 0.5000, 0.5000)  12 Zn 3.99, 12 Au 3.99
Zn (0.0000, 0.2500, 0.5000)  4 Au 2.52
Zn (0.0000, 0.7500, 0.5000)  4 Au 2.52
Zn (0.2500, 0.5000, 0.0000)  4 Au 2.52
Zn (0.5000, 0.0000, 0.2500)  4 Au 2.52
Zn (0.5000, 0.0000, 0.7500)  4 Au 2.52
Zn (0.7500, 0.5000, 0.0000)  4 Au 2.52
Au (0.0000, 0.5000, 0.2500)  4 Zn 2.52
Au (0.0000, 0.5000, 0.7500)  4 Zn 2.52
Au (0.2500, 0.0000, 0.5000)  4 Zn 2.52
Au (0.5000, 0.2500, 0.0000)  4 Zn 2.52
Au (0.5000, 0.7500, 0.0000)  4 Zn 2.52
Au (0.7500, 0.0000, 0.5000)  4 Zn 2.52

Output
DOS at the Fermi energy in states/eV/cell: 4.8
ΔH_f (0 K) in eV/atom: 0.10
Space group: Pm-3n

---

# 4
DFT (PBE-GGA) results for a relaxed structure of LiMg7Pd4.

a = 6.8984 Å, b = 6.8984 Å, c = 9.2620 Å
α = 124.08°, β = 124.08°, γ = 40.36°
Last column: nearest neighbours and their distance in Å.
Positions (direct):
Li (0.0000, 0.0000, 0.0000)  2 Mg 2.38
Mg (0.0691, 0.0691, 0.3589)  5 Pd 2.63-2.92, 1 Li 2.88
Mg (0.2183, 0.2183, 0.8715)  4 Pd 2.72-2.88, 1 Mg 2.99
Mg (0.3180, 0.3180, 0.3727)  4 Pd 2.62-2.80
Mg (0.5000, 0.5000, 0.0000)  2 Li 2.38, 4 Pd 2.62
Mg (0.6820, 0.6820, 0.6273)  4 Pd 2.62-2.80
Mg (0.7817, 0.7817, 0.1285)  4 Pd 2.72-2.88, 1 Mg 2.99
Mg (0.9309, 0.9309, 0.6411)  5 Pd 2.63-2.92, 1 Li 2.88
Pd (0.3068, 0.3068, 0.6566)  8 Mg 2.62-2.92, 1 Pd 2.82
Pd (0.4343, 0.4343, 0.2184)  7 Mg 2.62-2.88, 1 Pd 2.82
Pd (0.5657, 0.5657, 0.7816)  7 Mg 2.62-2.88, 1 Pd 2.82
Pd (0.6932, 0.6932, 0.3434)  8 Mg 2.62-2.92, 1 Pd 2.82

Output
DOS at the Fermi energy in states/eV/cell: 5.2
ΔH_f (0 K) in eV/atom: -0.41
Space group: C2/m

---

# 5
DFT (PBE-GGA) results for a relaxed structure of HfZnPdS2.

a = 4.8260 Å, b = 4.8260 Å, c = 5.3529 Å
α = 90.00°, β = 90.00°, γ = 90.00°
Last column: nearest neighbours and their distance in Å.
Positions (direct):
Hf (0.0000, 0.0000, 0.0000)  4 S 2.41, 2 Pd 2.68
Zn (0.5000, 0.5000, 0.5000)  4 Pd 3.41, 8 S 3.60
Pd (0.0000, 0.0000, 0.5000)  2 Hf 2.68
S (0.0000, 0.5000, 0.0000)  2 Hf 2.41
S (0.5000, 0.0000, 0.0000)  2 Hf 2.41

Output
Formation energy (no corrections) in meV per atom: -65
DOS at the Fermi energy in states/eV/cell: 3.5
Space group: P4/mmm

---

# 6
DFT (PBE-GGA) results for a relaxed structure of ZnAg2Os.

a = 2.7210 Å, b = 2.7210 Å, c = 8.5770 Å
α = 90.00°, β = 90.00°, γ = 90.00°
Last column: nearest neighbours and their distance in Å.
Positions (direct):
Zn (0.0000, 0.0000, 0.0000)  4 Zn 2.72, 8 Ag 2.83
Ag (0.5000, 0.5000, 0.2427)  4 Ag 2.72, 4 Zn 2.83, 4 Os 2.93
Ag (0.5000, 0.5000, 0.7573)  4 Ag 2.72, 4 Zn 2.83, 4 Os 2.93
Os (0.0000, 0.0000, 0.5000)  4 Os 2.72, 8 Ag 2.93

Output
DOS at the Fermi energy in states/eV/cell: 3.0
ΔH_f (0 K) in eV/atom: 0.47
Space group: P4/mmm

---

# 7
DFT (PBE-GGA) results for a relaxed structure of Tl4TeAu.

a = 15.5249 Å, b = 15.5249 Å, c = 4.5205 Å
α = 90.00°, β = 90.00°, γ = 159.48°
Last column: nearest neighbours and their distance in Å.
Positions (direct):
Tl (0.0000, 0.0000, 0.0000)  4 Au 3.39, 6 Tl 3.44-3.57
Tl (0.1125, 0.8875, 0.0000)  2 Au 3.13, 2 Te 3.28, 1 Tl 3.44
Tl (0.2843, 0.7157, 0.0000)  4 Tl 3.47-3.54, 6 Te 3.65-3.66
Tl (0.3736, 0.6264, 0.5000)  2 Au 2.95
Tl (0.5000, 0.5000, 0.5000)  4 Au 2.99
Tl (0.6264, 0.3736, 0.5000)  2 Au 2.95
Tl (0.7157, 0.2843, 0.0000)  4 Tl 3.47-3.54, 6 Te 3.65-3.66
Tl (0.8875, 0.1125, 0.0000)  2 Au 3.13, 2 Te 3.28, 1 Tl 3.44
Te (0.1903, 0.8097, 0.5000)  10 Tl 3.28-3.66
Te (0.8097, 0.1903, 0.5000)  10 Tl 3.28-3.66
Au (0.4358, 0.5642, 0.0000)  6 Tl 2.95-3.13
Au (0.5642, 0.4358, 0.0000)  6 Tl 2.95-3.13

Output
Formation energy (no corrections) in meV per atom: -99
DOS at the Fermi energy in states/eV/cell: 3.5
Space group: Cmmm

---

# 8
DFT (PBE-GGA) results for a relaxed structure of Nd5Hg2Rh.

a = 7.8727 Å, b = 12.1490 Å, c = 4.9251 Å
α = 90.00°, β = 90.00°, γ = 90.00°
Last column: nearest neighbours and their distance in Å.
Positions (direct):
Nd (0.0000, 0.0000, 0.0000)  4 Hg 3.22
Nd (0.1423, 0.2955, 0.0000)  1 Rh 2.73
Nd (0.1803, 0.5794, 0.5000)  2 Rh 3.00, 2 Hg 3.23-3.28
Nd (0.3197, 0.0794, 0.5000)  2 Rh 3.00, 2 Hg 3.23-3.28
Nd (0.3577, 0.7955, 0.0000)  1 Rh 2.73
Nd (0.5000, 0.5000, 0.0000)  4 Hg 3.22
Nd (0.6423, 0.2045, 0.0000)  1 Rh 2.73
Nd (0.6803, 0.9206, 0.5000)  2 Rh 3.00, 2 Hg 3.23-3.28
Nd (0.8197, 0.4206, 0.5000)  2 Rh 3.00, 2 Hg 3.23-3.28
Nd (0.8577, 0.7045, 0.0000)  1 Rh 2.73
Hg (0.0758, 0.8361, 0.5000)  9 Nd 3.22-3.52
Hg (0.4242, 0.3361, 0.5000)  9 Nd 3.22-3.52
Hg (0.5758, 0.6639, 0.5000)  9 Nd 3.22-3.52
Hg (0.9242, 0.1639, 0.5000)  9 Nd 3.22-3.52
Rh (0.0000, 0.5000, 0.0000)  6 Nd 2.73-3.00
Rh (0.5000, 0.0000, 0.0000)  6 Nd 2.73-3.00

Output
DOS at the Fermi energy in states/eV/cell: 18.5
ΔH_f (0 K) in eV/atom: -0.44
Space group: Pbam

---

# 9
DFT (PBE-GGA) results for a relaxed structure of AlReGe.

a = 3.2642 Å, b = 3.2642 Å, c = 8.1994 Å
α = 90.00°, β = 90.00°, γ = 90.00°
Last column: nearest neighbours and their distance in Å.
Positions (direct):
Al (0.0000, 0.0000, 0.0000)  5 Ge 2.68-2.71, 5 Re 2.69-2.73
Al (0.5000, 0.5000, 0.5000)  5 Ge 2.68-2.71, 5 Re 2.69-2.73
Re (0.0000, 0.0000, 0.6676)  5 Ge 2.65-2.79, 5 Al 2.69-2.73
Re (0.5000, 0.5000, 0.1676)  5 Ge 2.65-2.79, 5 Al 2.69-2.73
Ge (0.0000, 0.0000, 0.3268)  5 Re 2.65-2.79, 5 Al 2.68-2.71
Ge (0.5000, 0.5000, 0.8268)  5 Re 2.65-2.79, 5 Al 2.68-2.71

Output
DOS at the Fermi energy in states/eV/cell: 0.1
ΔH_f (0 K) in eV/atom: -0.25
Space group: I4mm

---

# 10
DFT (PBE-GGA) results for a relaxed structure of Zr4BeTe.

a = 5.7544 Å, b = 5.7544 Å, c = 5.7544 Å
α = 60.00°, β = 60.00°, γ = 60.00°
Last column: nearest neighbours and their distance in Å.
Positions (direct):
Zr (0.1234, 0.1234, 0.1234)  6 Zr 2.84-2.91
Zr (0.1234, 0.1234, 0.6298)  6 Zr 2.84-2.91
Zr (0.1234, 0.6298, 0.1234)  6 Zr 2.84-2.91
Zr (0.6298, 0.1234, 0.1234)  6 Zr 2.84-2.91
Be (0.7500, 0.7500, 0.7500)  12 Zr 3.37, 4 Te 3.52
Te (0.5000, 0.5000, 0.5000)  12 Zr 3.38, 4 Be 3.52

Output
Formation energy (no corrections) in meV per atom: 470
DOS at the Fermi energy in states/eV/cell: 7.9
Space group: F-43m

---

# 11
DFT (PBE-GGA) results for a relaxed structure of MgInGa2I.

a = 5.3084 Å, b = 5.3084 Å, c = 5.6800 Å
α = 90.00°, β = 90.00°, γ = 90.00°
Last column: nearest neighbours and their distance in Å.
Positions (direct):
Mg (0.0000, 0.0000, 0.0000)  4 Ga 2.65, 2 In 2.84
In (0.0000, 0.0000, 0.5000)  2 Mg 2.84
Ga (0.0000, 0.5000, 0.0000)  2 Mg 2.65
Ga (0.5000, 0.0000, 0.0000)  2 Mg 2.65
I (0.5000, 0.5000, 0.5000)  4 In 3.75, 8 Ga 3.89

Output
Formation energy (no corrections) in meV per atom: 193
DOS at the Fermi energy in states/eV/cell: 2.5
Space group: P4/mmm

---

# 12
DFT (PBE-GGA) results for a relaxed structure of Hf2UZn.

a = 4.5036 Å, b = 4.5036 Å, c = 4.0260 Å
α = 90.00°, β = 90.00°, γ = 90.00°
Last column: nearest neighbours and their distance in Å.
Positions (direct):
Hf (0.0000, 0.5000, 0.0000)  4 U 3.02, 4 Zn 3.02, 4 Hf 3.18
Hf (0.5000, 0.0000, 0.0000)  4 U 3.02, 4 Zn 3.02, 4 Hf 3.18
U (0.0000, 0.0000, 0.5000)  8 Hf 3.02, 4 Zn 3.18
Zn (0.5000, 0.5000, 0.5000)  8 Hf 3.02, 4 U 3.18

Output
DOS at the Fermi energy in states/eV/cell: 6.1
ΔH_f (0 K) in eV/atom: 0.16
Space group: P4/mmm

---

Number 1: M_tot 6.00 Bohr magnetons per cell. Number 2: M_tot 0.00 Bohr magnetons per cell. Number 3: M_tot 0.00 Bohr magnetons per cell. Number 4: M_tot 0.00 Bohr magnetons per cell. Number 5: M_tot 0.00 Bohr magnetons per cell. Number 6: M_tot 0.44 Bohr magnetons per cell. Number 7: M_tot 0.00 Bohr magnetons per cell. Number 8: M_tot 0.00 Bohr magnetons per cell. Number 9: M_tot 0.00 Bohr magnetons per cell. Number 10: M_tot 0.00 Bohr magnetons per cell. Number 11: M_tot 0.00 Bohr magnetons per cell. Number 12: M_tot 2.12 Bohr magnetons per cell.